No. 1
{
  "formula": "Ag4Se2Cl",
  "functional": "PBE",
  "state": "optimized geometry",
  "space_group": "C2/m (12)",
  "relative_energy_mev_per_atom": 64,
  "lattice_angstrom": [[7.952, 0.286, -0.132], [-0.288, 7.953, 0.120], [-3.727, -4.225, 5.645]],
  "species": ["Ag", "Ag", "Ag", "Ag", "Ag", "Ag", "Ag", "Ag", "Se", "Se", "Se", "Se", "Cl", "Cl"],
  "fractional_positions": [[0.865, 0.136, 0.271], [0.385, 0.614, 0.229], [0.864, 0.593, 0.729], [0.864, 0.135, 0.729], [0.406, 0.135, 0.271], [0.386, 0.157, 0.771], [0.386, 0.615, 0.771], [0.844, 0.614, 0.229], [0.625, 0.375, 0.750], [0.625, 0.875, 0.250], [0.625, 0.375, 0.250], [0.125, 0.375, 0.750], [0.250, 0.749, 0.500], [0.000, 0.001, 0.000]]
}

---

No. 2
{
  "formula": "Ag6SeCl12",
  "functional": "PBE",
  "state": "optimized geometry",
  "space_group": "R-3 (148)",
  "lattice_angstrom": [[7.892, 0.065, -0.428], [-0.456, 7.879, -0.428], [0.061, 0.065, 7.903]],
  "species": ["Ag", "Ag", "Ag", "Ag", "Ag", "Ag", "Se", "Cl", "Cl", "Cl", "Cl", "Cl", "Cl", "Cl", "Cl", "Cl", "Cl", "Cl", "Cl"],
  "fractional_positions": [[0.121, 0.337, 0.612], [0.663, 0.388, 0.879], [0.388, 0.879, 0.663], [0.879, 0.663, 0.388], [0.337, 0.612, 0.121], [0.612, 0.121, 0.337], [0.000, 0.000, 0.000], [0.387, 0.180, 0.562], [0.180, 0.562, 0.387], [0.562, 0.387, 0.180], [0.613, 0.820, 0.438], [0.820, 0.438, 0.613], [0.438, 0.613, 0.820], [0.063, 0.886, 0.718], [0.282, 0.937, 0.114], [0.114, 0.282, 0.937], [0.937, 0.114, 0.282], [0.718, 0.063, 0.886], [0.886, 0.718, 0.063]]
}

---

No. 3
{
  "formula": "AgSeCl2",
  "functional": "PBE",
  "state": "optimized geometry",
  "space_group": "F-43m (216)",
  "relative_energy_mev_per_atom": 553,
  "lattice_angstrom": [[4.870, 0.000, 0.000], [2.435, 4.218, 0.000], [2.435, 1.406, 3.977]],
  "species": ["Se", "Ag", "Cl", "Cl"],
  "fractional_positions": [[0.750, 0.750, 0.750], [0.500, 0.500, 0.500], [0.000, 0.000, 0.000], [0.250, 0.250, 0.250]]
}

---

No. 4
{
  "formula": "Ag2SeCl",
  "functional": "PBE",
  "state": "optimized geometry",
  "space_group": "Pmmm (47)",
  "relative_energy_mev_per_atom": 157,
  "lattice_angstrom": [[4.088, 0.000, 0.000], [0.000, 6.758, 0.000], [0.000, 0.000, 3.382]],
  "species": ["Ag", "Ag", "Cl", "Se"],
  "fractional_positions": [[0.000, 0.000, 0.000], [0.500, 0.500, 0.000], [0.500, 0.000, 0.500], [0.000, 0.500, 0.500]]
}

---

| no. | formation energy (no corrections) (eV/f.u.) | magnetic moment (μB/f.u.) |
| --- | --- | --- |
| 1 | -0.5 | 0.0 |
| 2 | -7.0 | 0.0 |
| 3 | 1.7 | 0.0 |
| 4 | -0.3 | 0.0 |